Computed, not measured: Ca2PuCl6 after structural relaxation at the PBE-GGA level of DFT.

extended XYZ file:
```
9
Lattice="3.558 2.054 7.058 -3.558 2.054 7.058 0.000 -4.108 7.058" Properties=species:S:1:pos:R:3 pbc="T T T"
Ca 0.000 0.000 3.802
Ca 0.000 0.000 17.372
Pu 0.000 0.000 0.000
Cl -1.179 -2.353 9.003
Cl -2.628 -0.156 12.171
Cl -1.449 2.198 9.003
Cl 1.449 -2.198 12.171
Cl 2.628 0.156 9.003
Cl 1.179 2.353 12.171
```

Results
Space group = R-3
Electronic total energy = -48.52 eV per cell
Offset from the most stable computed form = 0.028 eV per atom
E_form (uncorrected) = -2123.1 meV/atom
N(E_F) = 1.590 states/eV per atom